The following is a PBE-GGA calculation of crystalline V12Si6Ni at its relaxed geometry, from Alexandria.

Results
Mass density: 5.62 g cm⁻³
M_tot: 0.00 μB per cell
Uncorrected formation energy: -361 meV per atom
DFT total energy: -8.1367 eV/atom

The structure in extended XYZ format:
```
19
Lattice="4.399 2.540 3.694 -4.399 2.540 3.694 0.000 -5.079 3.694" Properties=species:S:1:pos:R:3 pbc="T T T"
V -3.997 0.808 4.623
V -2.699 -3.058 6.458
V -1.432 -0.440 3.378
V 1.299 -3.866 4.623
V 1.098 -1.020 3.378
V 0.335 1.461 3.378
V -0.335 -1.461 7.702
V -1.098 1.020 7.702
V -1.299 3.866 6.458
V 1.432 0.440 7.702
V 2.699 3.058 4.623
V 3.997 -0.808 6.458
Si -0.634 -2.286 5.052
Si -2.296 -0.594 6.029
Si -1.663 1.692 5.052
Si 1.663 -1.692 6.029
Si 2.296 0.594 5.052
Si 0.634 2.286 6.029
Ni 0.000 0.000 5.540
```

The following is a PBE-GGA calculation of crystalline V5Si5Ni at its relaxed geometry, from Alexandria.

Results
Mass density: 4.87 g cm⁻³
M_tot: 0.00 μB per cell
Uncorrected formation energy: -86 meV per atom
DFT total energy: -7.2212 eV/atom

The structure in extended XYZ format:
```
11
Lattice="4.511 -2.215 0.000 4.511 2.215 0.000 -1.251 0.000 7.748" Properties=species:S:1:pos:R:3 pbc="T T T"
V 0.000 0.000 0.000
V 2.525 0.000 0.627
V 2.875 0.000 6.232
V 4.895 0.000 1.516
V 5.245 0.000 7.121
Si 0.381 0.000 5.921
Si 1.136 0.000 2.531
Si 3.885 0.000 3.874
Si 6.634 0.000 5.217
Si 7.389 0.000 1.826
Ni -0.626 0.000 3.874
```

The following is a PBE-GGA calculation of crystalline VSiNi2 at its relaxed geometry, from Alexandria.

Results
Mass density: 6.40 g cm⁻³
M_tot: 0.00 μB per cell
Uncorrected formation energy: -31 meV per atom
DFT total energy: -6.5576 eV/atom

The structure in extended XYZ format:
```
8
Lattice="-1.767 1.767 8.167 1.767 -1.767 8.167 1.767 1.767 -8.167" Properties=species:S:1:pos:R:3 pbc="T T T"
V 0.000 0.000 0.000
V 0.000 1.767 4.084
Si 1.767 0.000 4.084
Si 0.000 0.000 8.167
Ni 0.883 -0.842 6.125
Ni 0.925 0.883 2.042
Ni 0.883 2.609 -2.042
Ni 0.842 0.883 10.209
```

The following is a PBE-GGA calculation of crystalline VSiNi2W at its relaxed geometry, from Alexandria.

Results
Mass density: 6.84 g cm⁻³
M_tot: 0.00 μB per cell
Uncorrected formation energy: 1501 meV per atom
DFT total energy: -6.3101 eV/atom

The structure in extended XYZ format:
```
5
Lattice="4.540 0.000 0.000 0.000 4.540 0.000 0.000 0.000 4.478" Properties=species:S:1:pos:R:3 pbc="T T T"
V 0.000 0.000 0.000
Si 2.270 2.270 0.000
Ni 0.000 2.270 2.239
Ni 2.270 0.000 2.239
W 0.000 0.000 2.239
```

Question: What is the mass density in the first record?
Answer: 5.62 g cm⁻³